1.
## SrMnReS2 (PBE)

Data for crystalline SrMnReS2 at its relaxed geometry.

Lattice parameters (Å, degrees): 4.596 4.596 6.110 90.00 90.00 90.00
Space group P4/mmm (No. 123)
Inequivalent atoms, fractional coordinates:
Sr (0.000, 0.000, 0.000) (multiplicity 1)
Mn (0.500, 0.500, 0.000) (multiplicity 1)
Re (0.000, 0.000, 0.500) (multiplicity 1)
S (0.000, 0.500, 0.500) (multiplicity 2)

## Properties
formation energy without anion corrections	0.4449	eV/atom

***

2.
## Ac2NdPd (PBE)

Data for crystalline Ac2NdPd at its relaxed geometry.

Lattice parameters (Å, degrees): 7.583 10.627 6.949 90.00 90.00 90.00
Space group Pnma (No. 62)
Inequivalent atoms, fractional coordinates:
Ac (0.182, 0.065, 0.167) (multiplicity 8)
Nd (0.033, 0.250, 0.658) (multiplicity 4)
Pd (0.122, 0.750, 0.940) (multiplicity 4)

## Properties
excess energy over the best structure of this formula in the dataset	0.0	kJ/mol of formula units
ΔH_f (0 K)	-392.2	meV/atom

***

3.
## Te3W5 (PBE)

Data for crystalline Te3W5 at its relaxed geometry.

Lattice parameters (Å, degrees): 6.569 9.357 4.747 90.00 90.00 90.00
Space group Cmmm (No. 65)
Inequivalent atoms, fractional coordinates:
Te (0.000, 0.000, 0.000) (multiplicity 2)
Te (0.000, 0.246, 0.500) (multiplicity 4)
W (0.000, 0.500, 0.000) (multiplicity 2)
W (0.217, 0.500, 0.500) (multiplicity 4)
W (0.250, 0.250, 0.000) (multiplicity 4)

## Properties
formation energy without anion corrections	0.8105	eV/atom

***

4.
## Pu2Ga5Co4 (PBE)

Data for crystalline Pu2Ga5Co4 at its relaxed geometry.

Lattice parameters (Å, degrees): 5.144 9.067 15.376 90.00 90.00 90.00
Space group Fmmm (No. 69)
Inequivalent atoms, fractional coordinates:
Pu (0.000, 0.000, 0.138) (multiplicity 8)
Ga (0.000, 0.000, 0.500) (multiplicity 4)
Ga (0.250, 0.250, 0.000) (multiplicity 8)
Ga (0.250, 0.250, 0.250) (multiplicity 8)
Co (0.000, 0.148, 0.370) (multiplicity 16)

## Properties
ΔH_f (0 K)	-205.9	meV/atom

***

5.
## Ti2HgPd4 (PBE)

Data for crystalline Ti2HgPd4 at its relaxed geometry.

Lattice parameters (Å, degrees): 3.780 3.780 19.078 90.00 90.00 90.00
Space group I4/mmm (No. 139)
Inequivalent atoms, fractional coordinates:
Ti (0.000, 0.000, 0.148) (multiplicity 4)
Hg (0.000, 0.000, 0.500) (multiplicity 2)
Pd (0.000, 0.000, 0.362) (multiplicity 4)
Pd (0.000, 0.500, 0.250) (multiplicity 4)

## Properties
ΔH_f (0 K)	-273.5	meV/atom

***

6.
## La2As2Pb (PBE)

Data for crystalline La2As2Pb at its relaxed geometry.

Lattice parameters (Å, degrees): 8.469 8.469 3.957 90.00 90.00 90.00
Space group P4/mbm (No. 127)
Inequivalent atoms, fractional coordinates:
La (0.145, 0.355, 0.000) (multiplicity 4)
As (0.163, 0.663, 0.500) (multiplicity 4)
Pb (0.000, 0.000, 0.000) (multiplicity 2)

## Properties
excess energy over the best structure of this formula in the dataset	114.8	kJ/mol of formula units
ΔH_f (0 K)	-838.6	meV/atom

***

7.
## Tm2H5 (PBE)

Data for crystalline Tm2H5 at its relaxed geometry.

Lattice parameters (Å, degrees): 5.243 10.400 4.747 90.00 90.00 90.00
Space group Ibam (No. 72)
Inequivalent atoms, fractional coordinates:
Tm (0.234, 0.119, 0.000) (multiplicity 8)
H (0.000, 0.256, 0.250) (multiplicity 8)
H (0.000, 0.500, 0.250) (multiplicity 4)
H (0.167, 0.085, 0.500) (multiplicity 8)

***

8.
## Rb2NpCd2Se4 (PBE)

Data for crystalline Rb2NpCd2Se4 at its relaxed geometry.

Lattice parameters (Å, degrees): 17.312 4.155 8.682 90.00 115.14 90.00
Space group C2/m (No. 12)
Inequivalent atoms, fractional coordinates:
Rb (0.128, 0.000, 0.067) (multiplicity 4)
Np (0.000, 0.000, 0.500) (multiplicity 2)
Cd (0.191, 0.500, 0.524) (multiplicity 4)
Se (0.024, 0.500, 0.287) (multiplicity 4)
Se (0.176, 0.000, 0.725) (multiplicity 4)

## Properties
formation energy without anion corrections	-0.8863	eV/atom

***

What DFT total energy values result from the calculations? In sequence: -29.33, -78.98, -135.41, -297.94, -77.55, -54.11, -120.35, -77.24 eV for the cell shown.
What D(E_F) values result from the calculations? In sequence: 0.562, 1.146, 0.757, 2.544, 0.493, 0.698, 0.093, 1.151 states/eV per atom.